1.
Computed, not measured: a relaxed structure of HgRuRh2 at the PBE level of DFT.

Unit cell a=4.854 b=4.854 c=4.854 alpha=131.84 beta=131.82 gamma=70.49
Atoms (fractional coordinates):
Rh (0.500, 0.500, 0.000)
Rh (0.000, 0.000, 0.000)
Ru (0.750, 0.250, 0.500)
Hg (0.250, 0.750, 0.500)

## Properties
symmetry	I4/mmm (139)
ΔH_f (0 K)	0.297	eV/atom


2.
Computed, not measured: a relaxed structure of HgRu2Rh at the PBE level of DFT.

Unit cell a=2.791 b=2.791 c=8.022 alpha=90.00 beta=90.00 gamma=90.00
Atoms (fractional coordinates):
Rh (0.500, 0.500, 0.750)
Ru (0.000, 0.000, 0.523)
Hg (0.500, 0.500, 0.250)
Ru (0.000, 0.000, 0.977)

## Properties
symmetry	P4/mmm (123)
ΔH_f (0 K)	0.408	eV/atom


3.
Computed, not measured: a relaxed structure of HgRuRh at the PBE level of DFT.

Unit cell a=4.501 b=4.501 c=2.826 alpha=90.00 beta=90.00 gamma=120.00
Atoms (fractional coordinates):
Hg (0.000, 0.000, 0.000)
Rh (0.667, 0.333, 0.500)
Ru (0.333, 0.667, 0.500)

## Properties
symmetry	P-6m2 (187)
ΔH_f (0 K)	0.474	eV/atom


4.
Computed, not measured: a relaxed structure of HgRu2Rh at the PBE level of DFT.

Unit cell a=4.716 b=4.716 c=2.856 alpha=90.00 beta=90.00 gamma=90.00
Atoms (fractional coordinates):
Ru (0.500, 0.500, 0.000)
Rh (0.000, 0.500, 0.500)
Ru (0.000, 0.000, 0.000)
Hg (0.500, 0.000, 0.500)

## Properties
symmetry	P4/mmm (123)
ΔH_f (0 K)	0.664	eV/atom


5.
Computed, not measured: a relaxed structure of HgRuRh4 at the PBE level of DFT.

Unit cell a=5.148 b=5.148 c=5.148 alpha=60.00 beta=60.00 gamma=60.00
Atoms (fractional coordinates):
Ru (0.750, 0.750, 0.750)
Rh (0.375, 0.375, 0.375)
Rh (0.375, 0.875, 0.375)
Rh (0.375, 0.375, 0.875)
Rh (0.875, 0.375, 0.375)
Hg (0.000, 0.000, 0.000)

## Properties
symmetry	F-43m (216)
ΔH_f (0 K)	0.461	eV/atom


6.
Computed, not measured: a relaxed structure of HgRu2Rh at the PBE level of DFT.

Unit cell a=9.338 b=9.338 c=9.338 alpha=17.25 beta=17.25 gamma=17.25
Atoms (fractional coordinates):
Ru (0.006, 0.006, 0.006)
Hg (0.250, 0.250, 0.250)
Rh (0.750, 0.750, 0.750)
Ru (0.494, 0.494, 0.494)

## Properties
symmetry	R-3m (166)
ΔH_f (0 K)	0.401	eV/atom


7.
Computed, not measured: a relaxed structure of HgRuRh at the PBE level of DFT.

Unit cell a=7.609 b=7.345 c=2.824 alpha=84.44 beta=73.89 gamma=21.68
Atoms (fractional coordinates):
Rh (0.326, 0.326, 0.674)
Hg (0.999, 0.999, 0.001)
Ru (0.675, 0.675, 0.325)

## Properties
symmetry	Fmm2 (42)
ΔH_f (0 K)	0.492	eV/atom


8.
Computed, not measured: a relaxed structure of HgRu2Rh at the PBE level of DFT.

Unit cell a=4.947 b=4.947 c=4.947 alpha=133.75 beta=133.75 gamma=67.48
Atoms (fractional coordinates):
Rh (0.750, 0.250, 0.500)
Ru (0.000, 0.000, 0.000)
Ru (0.500, 0.500, 0.000)
Hg (0.250, 0.750, 0.500)

## Properties
symmetry	I4/mmm (139)
ΔH_f (0 K)	0.454	eV/atom


9.
Computed, not measured: a relaxed structure of HgRu2Rh at the PBE level of DFT.

Unit cell a=3.798 b=2.811 c=6.508 alpha=64.48 beta=90.00 gamma=90.00
Atoms (fractional coordinates):
Ru (0.000, 0.988, 0.012)
Hg (0.000, 0.498, 0.502)
Rh (0.500, 0.729, 0.770)
Ru (0.500, 0.285, 0.216)

## Properties
symmetry	Pmm2 (25)
ΔH_f (0 K)	0.320	eV/atom


10.
Computed, not measured: a relaxed structure of HgRu2Rh at the PBE level of DFT.

Unit cell a=4.927 b=4.927 c=2.796 alpha=90.00 beta=90.00 gamma=112.72
Atoms (fractional coordinates):
Rh (0.000, 0.500, 0.500)
Hg (0.500, 0.000, 0.500)
Ru (0.500, 0.500, 0.000)
Ru (0.000, 0.000, 0.000)

## Properties
symmetry	Cmmm (65)
ΔH_f (0 K)	0.530	eV/atom


no.,electronic total energy (Ry/atom),N(E_F) (states/eV per cell)
1,-0.4243,5.58
2,-0.4515,6.63
3,-0.3799,3.88
4,-0.4327,6.15
5,-0.4437,10.11
6,-0.4520,5.50
7,-0.3786,2.83
8,-0.4481,5.70
9,-0.4580,5.13
10,-0.4425,6.45